Record 1
The following is a DFT calculation (PBEsol) of Co3W4 after structural relaxation.

## Properties
- Calculated density: 16.5 g/cm3

Cell lengths 4.7070, 4.7070, 4.7946 Å; angles 90.00, 90.00, 120.00 degrees
With the nearest neighbours (Å) after each atom.
Space group P6/mmm (No. 191)
Unique sites:
Co: 0.0000 0.5000 0.0000 [3 per cell]  4 Co 2.35
W: 0.0000 0.0000 0.2526 [2 per cell]  2 W 2.37-2.42, 6 Co 2.65
W: 0.3333 0.6667 0.5000 [2 per cell]  9 W 2.72-2.97, 6 Co 2.76



Record 2
The following is a DFT calculation (PBEsol) of YCo2W after structural relaxation.

## Properties
- Calculated density: 10.4 g/cm3

Cell lengths 3.0675, 3.0675, 6.6010 Å; angles 90.00, 90.00, 90.00 degrees
With the nearest neighbours (Å) after each atom.
Space group P4mm (No. 99)
Unique sites:
Y: 0.0000 0.0000 0.0000 [1 per cell]  5 Co 2.93-3.15, 4 Y 3.07, 4 W 3.11
Co: 0.0000 0.0000 0.4768 [1 per cell]  4 Co 2.47, 4 W 2.49
Co: 0.5000 0.5000 0.2988 [1 per cell]  1 W 2.41, 4 Co 2.47
W: 0.5000 0.5000 0.6632 [1 per cell]  5 Co 2.41-2.49



Record 3
The following is a DFT calculation (PBEsol) of Y2CoW after structural relaxation.

## Properties
- Calculated density: 7.2 g/cm3
- ΔE to the lowest computed polymorph: 0 meV/atom

Cell lengths 3.9282, 3.9282, 21.6835 Å; angles 90.00, 90.00, 120.00 degrees
With the nearest neighbours (Å) after each atom.
Space group R3m (No. 160, hexagonal axes)
Unique sites:
Y: 0.0000 0.0000 0.0000 [3 per cell]  3 W 3.00, 3 Co 3.17
Y: 0.0000 0.0000 0.1891 [3 per cell]  3 Co 2.95, 3 W 3.12
Co: 0.0000 0.0000 0.4352 [3 per cell]  3 W 2.28
W: 0.0000 0.0000 0.7569 [3 per cell]  3 Co 2.28



Record 4
The following is a DFT calculation (PBEsol) of Y2CoW after structural relaxation.

## Properties
- Calculated density: 9.1 g/cm3
- ΔE to the lowest computed polymorph: 214 meV/atom

Cell lengths 3.1104, 3.1104, 7.9158 Å; angles 90.00, 90.00, 90.00 degrees
With the nearest neighbours (Å) after each atom.
Space group P4/mmm (No. 123)
Unique sites:
Y: 0.0000 0.0000 0.2178 [2 per cell]  4 Co 2.79, 4 Y 3.11
Co: 0.5000 0.5000 0.0000 [1 per cell]  8 Y 2.79, 4 Co 3.11
W: 0.5000 0.5000 0.5000 [1 per cell]  4 W 3.11, 8 Y 3.14



Record 5
The following is a DFT calculation (PBEsol) of Y2CoW after structural relaxation.

## Properties
- Calculated density: 8.9 g/cm3
- ΔE to the lowest computed polymorph: 316 meV/atom

Cell lengths 4.9549, 4.9549, 3.1844 Å; angles 90.00, 90.00, 90.00 degrees
With the nearest neighbours (Å) after each atom.
Space group P4/mmm (No. 123)
Unique sites:
Y: 0.0000 0.5000 0.0000 [2 per cell]  4 W 2.95, 4 Co 2.95, 2 Y 3.18
Co: 0.0000 0.0000 0.5000 [1 per cell]  8 Y 2.95, 2 Co 3.18
W: 0.5000 0.5000 0.5000 [1 per cell]  8 Y 2.95, 2 W 3.18



Record 6
The following is a DFT calculation (PBEsol) of Zn2CoW after structural relaxation.

## Properties
- Calculated density: 12.0 g/cm3
- ΔE to the lowest computed polymorph: 36 meV/atom

Cell lengths 3.9014, 3.9014, 6.7747 Å; angles 90.00, 90.00, 90.00 degrees
With the nearest neighbours (Å) after each atom.
Space group I-4m2 (No. 119)
Unique sites:
Zn: 0.0000 0.0000 0.0000 [2 per cell]  4 Co 2.58, 4 Zn 2.58, 4 W 2.76
Zn: 0.0000 0.5000 0.2500 [2 per cell]  4 W 2.58, 4 Zn 2.58, 4 Co 2.76
Co: 0.0000 0.5000 0.7500 [2 per cell]  4 W 2.58, 8 Zn 2.58-2.76
W: 0.0000 0.0000 0.5000 [2 per cell]  4 Co 2.58, 8 Zn 2.58-2.76



Record 7
The following is a DFT calculation (PBEsol) of Zn2CoW after structural relaxation.

## Properties
- Calculated density: 11.6 g/cm3
- ΔE to the lowest computed polymorph: 83 meV/atom

Cell lengths 5.1750, 8.0695, 2.5681 Å; angles 90.00, 90.00, 90.00 degrees
With the nearest neighbours (Å) after each atom.
Space group Cmmm (No. 65)
Unique sites:
Zn: 0.2500 0.2500 0.0000 [4 per cell]  4 Zn 2.57-2.59, 4 W 2.72, 4 Co 2.72
Co: 0.0000 0.0000 0.5000 [2 per cell]  2 Co 2.57, 2 W 2.59, 8 Zn 2.72
W: 0.0000 0.5000 0.5000 [2 per cell]  2 W 2.57, 2 Co 2.59, 8 Zn 2.72



Record 8
The following is a DFT calculation (PBEsol) of Zn2CoW after structural relaxation.

## Properties
- Calculated density: 11.8 g/cm3
- ΔE to the lowest computed polymorph: 0 meV/atom

Cell lengths 2.6363, 4.4393, 8.9478 Å; angles 90.00, 90.00, 90.00 degrees
With the nearest neighbours (Å) after each atom.
Space group Immm (No. 71)
Unique sites:
Zn: 0.0000 0.0000 0.2304 [4 per cell]  2 Co 2.45, 6 Zn 2.61-2.64
Co: 0.0000 0.5000 0.5000 [2 per cell]  4 Zn 2.45, 4 W 2.58, 2 Co 2.64
W: 0.0000 0.5000 0.0000 [2 per cell]  4 Co 2.58, 2 W 2.64, 4 Zn 2.75



Record 9
The following is a DFT calculation (PBEsol) of ZnCo6W after structural relaxation.

## Properties
- Calculated density: 11.3 g/cm3

Cell lengths 7.0590, 10.0137, 10.0134 Å; angles 90.00, 90.00, 90.00 degrees
With the nearest neighbours (Å) after each atom.
Space group Cmmm (No. 65)
Unique sites:
Zn: 0.0000 0.0000 0.2503 [4 per cell]  12 Co 2.50-2.51
Zn: 0.0000 0.2528 0.0000 [4 per cell]  12 Co 2.48-2.53
Co: 0.0000 0.0000 0.0000 [2 per cell]  8 Co 2.49, 4 Zn 2.51-2.53
Co: 0.0000 0.0000 0.5000 [2 per cell]  8 Co 2.49, 2 Zn 2.50, 2 W 2.55
Co: 0.0000 0.2502 0.2503 [8 per cell]  8 Co 2.49-2.51, 2 W 2.50, 2 Zn 2.51
Co: 0.0000 0.5000 0.0000 [2 per cell]  2 Zn 2.48, 2 W 2.48, 8 Co 2.51
Co: 0.0000 0.5000 0.5000 [2 per cell]  4 W 2.46-2.52, 8 Co 2.50
Co: 0.2474 0.1258 0.1242 [16 per cell]  8 Co 2.49-2.52, 3 Zn 2.49-2.50, 1 W 2.51
Co: 0.2496 0.1247 0.3752 [16 per cell]  3 W 2.48-2.52, 8 Co 2.49-2.51, 1 Zn 2.50
W: 0.0000 0.2545 0.5000 [4 per cell]  12 Co 2.46-2.55
W: 0.0000 0.5000 0.2480 [4 per cell]  12 Co 2.48-2.52



Record 10
The following is a DFT calculation (PBEsol) of ZrCoW2 after structural relaxation.

## Properties
- Calculated density: 13.7 g/cm3
- ΔE to the lowest computed polymorph: 100 meV/atom

Cell lengths 3.1619, 4.3956, 9.0282 Å; angles 90.00, 90.00, 90.00 degrees
With the nearest neighbours (Å) after each atom.
Space group Immm (No. 71)
Unique sites:
Zr: 0.0000 0.0000 0.0000 [2 per cell]  4 Co 2.71, 4 W 2.82
Co: 0.0000 0.0000 0.5000 [2 per cell]  4 W 2.69, 4 Zr 2.71
W: 0.0000 0.5000 0.2408 [4 per cell]  2 Co 2.69, 4 W 2.71, 2 Zr 2.82



Record 11
The following is a DFT calculation (PBEsol) of ZrCoW2 after structural relaxation.

## Properties
- Calculated density: 13.8 g/cm3
- ΔE to the lowest computed polymorph: 0 meV/atom

Cell lengths 3.1672, 3.1672, 6.2130 Å; angles 90.00, 90.00, 90.00 degrees
With the nearest neighbours (Å) after each atom.
Space group P4mm (No. 99)
Unique sites:
Zr: 0.0000 0.0000 0.0000 [1 per cell]  4 Co 2.72, 5 W 2.85-3.01
Co: 0.5000 0.5000 0.2496 [1 per cell]  5 W 2.67-2.90, 4 Zr 2.72
W: 0.0000 0.0000 0.4837 [1 per cell]  4 W 2.67, 4 Co 2.67
W: 0.5000 0.5000 0.7166 [1 per cell]  4 W 2.67, 4 Zr 2.85, 1 Co 2.90



Record 12
The following is a DFT calculation (PBEsol) of ZrCoW2 after structural relaxation.

## Properties
- Calculated density: 14.1 g/cm3
- ΔE to the lowest computed polymorph: 355 meV/atom

Cell lengths 6.2493, 6.2493, 6.2493 Å; angles 90.00, 90.00, 90.00 degrees
With the nearest neighbours (Å) after each atom.
Space group Fm-3m (No. 225)
Unique sites:
Zr: 0.0000 0.0000 0.0000 [4 per cell]  8 W 2.71
Co: 0.0000 0.0000 0.5000 [4 per cell]  8 W 2.71
W: 0.2500 0.2500 0.2500 [8 per cell]  4 Zr 2.71, 4 Co 2.71



Number 1: E_form 0.01 eV/atom, total DFT energy (no corrections) -11.20 eV per atom. Number 2: E_form 0.30 eV/atom, total DFT energy (no corrections) -8.72 eV per atom. Number 3: E_form 0.19 eV/atom, total DFT energy (no corrections) -8.61 eV per atom. Number 4: E_form 0.40 eV/atom, total DFT energy (no corrections) -8.39 eV per atom. Number 5: E_form 0.51 eV/atom, total DFT energy (no corrections) -8.29 eV per atom. Number 6: E_form 0.23 eV/atom, total DFT energy (no corrections) -5.95 eV per atom. Number 7: E_form 0.28 eV/atom, total DFT energy (no corrections) -5.90 eV per atom. Number 8: E_form 0.20 eV/atom, total DFT energy (no corrections) -5.98 eV per atom. Number 9: E_form 0.00 eV/atom, total DFT energy (no corrections) -7.73 eV per atom. Number 10: E_form 0.16 eV/atom, total DFT energy (no corrections) -10.95 eV per atom. Number 11: E_form 0.06 eV/atom, total DFT energy (no corrections) -11.05 eV per atom. Number 12: E_form 0.42 eV/atom, total DFT energy (no corrections) -10.69 eV per atom.